No. 1
DFT (PBE) results for TcOsAu2 after structural relaxation.

Summary:
SG	Imm2 (44)
ΔE to the lowest computed polymorph	31.49	kJ/mol of atoms
DOS at the Fermi energy	3.7	states/eV/cell

Geometry as POSCAR:
```
TcOsAu2
1.0
-1.589 2.761 3.714
-2.069 -2.842 3.404
4.321 -0.250 -2.282
Tc Au Os
1 2 1
Direct
0.250 0.750 0.500
0.750 0.250 0.500
0.000 0.000 0.000
0.500 0.500 0.000
```


No. 2
DFT (PBE) results for Tc2OsAu after structural relaxation.

Summary:
SG	P4/mmm (123)
ΔE to the lowest computed polymorph	14.64	kJ/mol of atoms
DOS at the Fermi energy	3.7	states/eV/cell

Geometry as POSCAR:
```
Tc2OsAu
1.0
-1.132 0.039 3.738
-0.541 -3.866 -0.124
3.738 -0.559 1.137
Os Au Tc
1 1 2
Direct
0.000 0.500 0.500
0.500 0.000 0.500
0.000 0.000 0.000
0.500 0.500 0.000
```


No. 3
DFT (PBE) results for TcOsAu2 after structural relaxation.

Summary:
SG	P4/mmm (123)
ΔE to the lowest computed polymorph	45.21	kJ/mol of atoms
DOS at the Fermi energy	5.1	states/eV/cell

Geometry as POSCAR:
```
TcOsAu2
1.0
-0.808 1.445 -3.816
0.528 -3.595 -1.473
-3.810 -0.771 0.515
Os Au Tc
1 2 1
Direct
0.500 0.500 0.000
0.000 0.500 0.500
0.000 0.000 0.000
0.500 0.000 0.500
```


No. 4
DFT (PBE) results for Tc2OsAu after structural relaxation.

Summary:
SG	F-43m (216)
ΔE to the lowest computed polymorph	42.16	kJ/mol of atoms
DOS at the Fermi energy	5.1	states/eV/cell

Geometry as POSCAR:
```
Tc2OsAu
1.0
-0.562 -1.414 4.172
3.514 -1.233 2.419
1.350 2.519 3.399
Os Au Tc
1 1 2
Direct
0.750 0.750 0.750
0.500 0.500 0.500
0.250 0.250 0.250
0.000 0.000 0.000
```


No. 5
DFT (PBE) results for TcOsAu2 after structural relaxation.

Summary:
SG	P2/m (10)
ΔE to the lowest computed polymorph	47.16	kJ/mol of atoms
DOS at the Fermi energy	5.1	states/eV/cell

Geometry as POSCAR:
```
TcOsAu2
1.0
-2.014 1.027 -4.392
-2.482 -0.230 1.084
-0.109 4.737 1.157
Au Tc Os
2 1 1
Direct
0.000 0.493 0.500
0.000 0.007 0.000
0.500 0.750 0.750
0.500 0.250 0.250
```


No. 6
DFT (PBE) results for TcOsAu2 after structural relaxation.

Summary:
SG	P4/mmm (123)
ΔE to the lowest computed polymorph	57.16	kJ/mol of atoms
DOS at the Fermi energy	3.7	states/eV/cell

Geometry as POSCAR:
```
TcOsAu2
1.0
-2.630 -3.575 -1.293
3.786 -2.321 -1.283
0.223 -1.165 2.767
Au Os Tc
2 1 1
Direct
0.000 0.000 0.000
0.500 0.500 0.000
0.500 0.000 0.500
0.000 0.500 0.500
```


No. 7
DFT (PBE) results for Tc2OsAu after structural relaxation.

Summary:
SG	P4/mmm (123)
ΔE to the lowest computed polymorph	35.46	kJ/mol of atoms
DOS at the Fermi energy	5.0	states/eV/cell

Geometry as POSCAR:
```
Tc2OsAu
1.0
4.699 0.000 0.000
0.000 4.699 0.000
0.000 0.000 2.808
Tc Os Au
2 1 1
Direct
0.500 0.500 0.000
0.000 0.000 0.000
0.000 0.500 0.500
0.500 0.000 0.500
```


No. 8
DFT (PBE) results for Tc2OsAu after structural relaxation.

Summary:
SG	Cm (8)
ΔE to the lowest computed polymorph	5.85	kJ/mol of atoms
DOS at the Fermi energy	2.9	states/eV/cell

Geometry as POSCAR:
```
Tc2OsAu
1.0
-1.153 4.695 0.006
-3.546 3.283 0.139
-0.205 0.794 4.752
Os Tc Au
1 2 1
Direct
0.260 0.260 0.222
0.998 0.998 0.005
0.741 0.741 0.771
0.500 0.500 0.502
```


| no. | E_tot (eV per atom) | calculated density (g/cm3) |
| --- | --- | --- |
| 1 | -6.538 | 17.852 |
| 2 | -8.447 | 16.085 |
| 3 | -6.396 | 17.713 |
| 4 | -8.162 | 15.635 |
| 5 | -6.375 | 17.307 |
| 6 | -6.272 | 17.609 |
| 7 | -8.231 | 15.621 |
| 8 | -8.538 | 15.846 |